Density functional theory data (PBE) for an optimized crystal structure of Er4Tl5N.

Values from the calculation:
Total magnetization, μB per atom: 0.00
Energy relative to the elements, uncorrected, meV/atom: -419.8
V, A^3/atom: 25.94
Density of states at the Fermi level, states/eV/atom: 0.622
Electronic total energy, eV per cell: -42.6

Unit cell a=8.723 b=8.723 c=8.610 alpha=99.51 beta=99.51 gamma=23.69
Positions (direct):
Er: 0.002 0.002 0.184
Er: 0.355 0.355 0.953
Er: 0.645 0.645 0.047
Er: 0.998 0.998 0.816
Tl: 0.174 0.174 0.744
Tl: 0.176 0.176 0.384
Tl: 0.500 0.500 0.500
Tl: 0.824 0.824 0.616
Tl: 0.826 0.826 0.256
N: 0.500 0.500 0.000